DFT (PBE with a Hubbard U) results for crystalline Rb3Nd3VO8 at its relaxed geometry.

Summary:
- Space group: C2/m
- Energy: -100.623 eV per cell

Unit cell a=7.0120 b=7.0120 c=7.7730 alpha=116.93 beta=116.93 gamma=60.30
Closest atoms and distances in Å follow each position.
Fractional coordinates of all 15 atoms:
Rb (0.0000, 0.0000, 0.0000)  6 O 2.91-2.94
Rb (0.0000, 0.5000, 0.0000)  6 O 2.93-2.95
Rb (0.5000, 0.0000, 0.0000)  6 O 2.93-2.95
Nd (0.0000, 0.5000, 0.5000)  6 O 2.36-2.44
Nd (0.5000, 0.0000, 0.5000)  6 O 2.36-2.44
Nd (0.5000, 0.5000, 0.5000)  6 O 2.36-2.42
V (0.0000, 0.0000, 0.5000)  6 O 2.00-2.09
O (0.1940, 0.1940, 0.6588)  1 V 2.00
O (0.2011, 0.7612, 0.6634)  1 V 2.09
O (0.2388, 0.7989, 0.3366)  1 V 2.09
O (0.2717, 0.2717, 0.3185)  3 Nd 2.36
O (0.7283, 0.7283, 0.6815)  3 Nd 2.36
O (0.7612, 0.2011, 0.6634)  1 V 2.09
O (0.7989, 0.2388, 0.3366)  1 V 2.09
O (0.8060, 0.8060, 0.3412)  1 V 2.00

DFT (PBE with a Hubbard U) results for crystalline Rb4Nd3VO8 at its relaxed geometry.

Summary:
- Space group: C2/m
- Energy: -101.876 eV per cell

Unit cell a=7.1440 b=7.1440 c=7.7544 alpha=117.49 beta=117.49 gamma=59.35
Closest atoms and distances in Å follow each position.
Fractional coordinates of all 16 atoms:
Rb (0.0000, 0.0000, 0.0000)  6 O 2.93-3.13
Rb (0.0000, 0.5000, 0.0000)  6 O 2.90-2.94
Rb (0.5000, 0.0000, 0.0000)  6 O 2.90-2.94
Rb (0.5000, 0.5000, 0.0000)  6 O 2.92-2.95
Nd (0.0000, 0.0000, 0.5000)  6 O 2.38-2.43
Nd (0.0000, 0.5000, 0.5000)  6 O 2.38-2.45
Nd (0.5000, 0.0000, 0.5000)  6 O 2.38-2.45
V (0.5000, 0.5000, 0.5000)  6 O 2.15-2.40
O (0.2264, 0.2264, 0.6837)  3 Nd 2.38
O (0.2564, 0.7058, 0.6693)  1 V 2.15
O (0.2723, 0.2723, 0.3131)  2 Nd 2.39, 1 V 2.40
O (0.2942, 0.7436, 0.3307)  1 V 2.15
O (0.7058, 0.2564, 0.6693)  1 V 2.15
O (0.7277, 0.7277, 0.6869)  2 Nd 2.39, 1 V 2.40
O (0.7436, 0.2942, 0.3307)  1 V 2.15
O (0.7736, 0.7736, 0.3163)  3 Nd 2.38

DFT (PBE with a Hubbard U) results for crystalline RbNdVO4 at its relaxed geometry.

Summary:
- Space group: P2_1/m
- Energy: -99.596 eV per cell

Unit cell a=6.1261 b=6.0446 c=7.7054 alpha=90.00 beta=106.96 gamma=90.00
Closest atoms and distances in Å follow each position.
Fractional coordinates of all 14 atoms:
Rb (0.2122, 0.2500, 0.4344)  2 O 2.80-2.92
Rb (0.7878, 0.7500, 0.5656)  2 O 2.80-2.92
Nd (0.3108, 0.2500, 0.9551)  6 O 2.34-2.54
Nd (0.6892, 0.7500, 0.0449)  6 O 2.34-2.54
V (0.2223, 0.7500, 0.1544)  4 O 1.75-1.90
V (0.7777, 0.2500, 0.8456)  4 O 1.75-1.90
O (0.0395, 0.7500, 0.9327)  1 V 1.75
O (0.0467, 0.7500, 0.3024)  1 V 1.78
O (0.4453, 0.5263, 0.1727)  1 V 1.90
O (0.4453, 0.9737, 0.1727)  1 V 1.90
O (0.5547, 0.0263, 0.8273)  1 V 1.90
O (0.5547, 0.4737, 0.8273)  1 V 1.90
O (0.9533, 0.2500, 0.6976)  1 V 1.78
O (0.9605, 0.2500, 0.0673)  1 V 1.75

- Among the records above, which one has the lowest energy?
  Rb4Nd3VO8

- Among the records above, which one has the lowest energy?
  Rb4Nd3VO8